The following is a PBE-GGA calculation of crystalline AsPtO5 at its relaxed geometry, from Alexandria.

Computed properties:
Space group   C2/c (15)
Magnetic moment   0.000 μB per formula unit
Calculated volume   184 Å³ per cell
Total energy   -79.79 eV/cell
Fermi-level density of states   9.00 states/eV/cell
ΔE_f (raw)   -631 meV per atom

a = 5.3783 Å, b = 5.3783 Å, c = 7.3483 Å
α = 110.31°, β = 110.31°, γ = 92.00°
Atoms (fractional coordinates):
As 0.1290 0.8710 0.7500
As 0.8710 0.1290 0.2500
Pt 0.5000 0.5000 0.0000
Pt 0.5000 0.5000 0.5000
O 0.1669 0.2202 0.8337
O 0.2117 0.7234 0.5333
O 0.2202 0.1669 0.3337
O 0.2766 0.7883 0.9667
O 0.4147 0.5853 0.2500
O 0.5853 0.4147 0.7500
O 0.7234 0.2117 0.0333
O 0.7798 0.8331 0.6663
O 0.7883 0.2766 0.4667
O 0.8331 0.7798 0.1663